(1)
# BeNb

An optimized crystal structure of BeNb (PBE, OQMD via LeMat-Bulk).

Cell lengths 3.6987, 3.6987, 3.6987 Å; angles 60.00, 60.00, 60.00 degrees
Last column: nearest neighbours and their distance in Å.
Atoms (fractional coordinates):
Be (0.0000, 0.0000, 0.0000)  4 Nb 2.26
Nb (0.2500, 0.2500, 0.2500)  4 Be 2.26



(2)
# NdBeNb

An optimized crystal structure of NdBeNb (PBE, OQMD via LeMat-Bulk).

Distance to the lowest polymorph of the same formula = 0.0 meV/atom

Cell lengths 4.4877, 4.4877, 4.4877 Å; angles 60.00, 60.00, 60.00 degrees
Last column: nearest neighbours and their distance in Å.
Atoms (fractional coordinates):
Nd (0.7500, 0.7500, 0.7500)  4 Be 2.75
Nb (0.2500, 0.2500, 0.2500)  4 Be 2.75
Be (0.0000, 0.0000, 0.0000)  4 Nb 2.75, 4 Nd 2.75



(3)
# BeNbNi

An optimized crystal structure of BeNbNi (PBE, OQMD via LeMat-Bulk).

Distance to the lowest polymorph of the same formula = 586.0 meV/atom

Cell lengths 4.0038, 4.0038, 4.0038 Å; angles 60.00, 60.00, 60.00 degrees
Last column: nearest neighbours and their distance in Å.
Atoms (fractional coordinates):
Be (0.2500, 0.2500, 0.2500)  4 Nb 2.45
Nb (0.0000, 0.0000, 0.0000)  4 Ni 2.45, 4 Be 2.45
Ni (0.7500, 0.7500, 0.7500)  4 Nb 2.45



(4)
# BeNbNi

An optimized crystal structure of BeNbNi (PBE, OQMD via LeMat-Bulk).

Distance to the lowest polymorph of the same formula = 0.0 meV/atom

Cell lengths 3.9212, 3.9212, 3.9212 Å; angles 60.00, 60.00, 60.00 degrees
Last column: nearest neighbours and their distance in Å.
Atoms (fractional coordinates):
Nb (0.7500, 0.7500, 0.7500)  4 Ni 2.40
Ni (0.0000, 0.0000, 0.0000)  4 Nb 2.40, 4 Be 2.40
Be (0.2500, 0.2500, 0.2500)  4 Ni 2.40



(5)
# BeNbNiSb

An optimized crystal structure of BeNbNiSb (PBE, OQMD via LeMat-Bulk).

Distance to the lowest polymorph of the same formula = 68.7 meV/atom

Cell lengths 4.3884, 4.3884, 4.3884 Å; angles 60.00, 60.00, 60.00 degrees
Last column: nearest neighbours and their distance in Å.
Atoms (fractional coordinates):
Sb (0.0000, 0.0000, 0.0000)  4 Be 2.69, 4 Ni 2.69
Ni (0.7500, 0.7500, 0.7500)  4 Nb 2.69, 4 Sb 2.69
Be (0.2500, 0.2500, 0.2500)  4 Sb 2.69, 4 Nb 2.69
Nb (0.5000, 0.5000, 0.5000)  4 Be 2.69, 4 Ni 2.69



(6)
# BeNbNiSb

An optimized crystal structure of BeNbNiSb (PBE, OQMD via LeMat-Bulk).

Distance to the lowest polymorph of the same formula = 0.0 meV/atom

Cell lengths 4.4151, 4.4151, 4.4151 Å; angles 60.00, 60.00, 60.00 degrees
Last column: nearest neighbours and their distance in Å.
Atoms (fractional coordinates):
Nb (0.2500, 0.2500, 0.2500)  4 Be 2.70, 4 Sb 2.70
Be (0.5000, 0.5000, 0.5000)  4 Nb 2.70, 4 Ni 2.70
Sb (0.0000, 0.0000, 0.0000)  4 Ni 2.70, 4 Nb 2.70
Ni (0.7500, 0.7500, 0.7500)  4 Sb 2.70, 4 Be 2.70



(7)
# Be2Nb2O5

An optimized crystal structure of Be2Nb2O5 (PBE, OQMD via LeMat-Bulk).

Distance to the lowest polymorph of the same formula = 282.4 meV/atom

Cell lengths 8.5018, 3.3862, 3.3862 Å; angles 90.00, 90.00, 90.00 degrees
Last column: nearest neighbours and their distance in Å.
Atoms (fractional coordinates):
Nb (0.7356, 0.5000, 0.5000)  5 O 2.00
Be (0.5000, 0.0000, 0.0000)  4 O 2.39
O (0.5000, 0.5000, 0.5000)  2 Nb 2.00
Nb (0.2644, 0.5000, 0.5000)  5 O 2.00
O (0.8611, 0.0000, 0.5000)  2 Nb 2.00, 2 Be 2.06
O (0.8611, 0.5000, 0.0000)  2 Nb 2.00, 2 Be 2.06
Be (0.0000, 0.0000, 0.0000)  8 O 2.06
O (0.1389, 0.0000, 0.5000)  2 Nb 2.00, 2 Be 2.06
O (0.1389, 0.5000, 0.0000)  2 Nb 2.00, 2 Be 2.06



(8)
# Be2Nb2O5

An optimized crystal structure of Be2Nb2O5 (PBE, OQMD via LeMat-Bulk).

Distance to the lowest polymorph of the same formula = 0.0 meV/atom

Cell lengths 6.6291, 3.4735, 3.4735 Å; angles 90.00, 90.00, 90.00 degrees
Last column: nearest neighbours and their distance in Å.
Atoms (fractional coordinates):
Be (0.2563, 0.5000, 0.5000)  5 O 1.62-1.77
O (0.7979, 0.5000, 0.0000)  2 Be 1.77
O (0.5000, 0.5000, 0.5000)  2 Be 1.62
O (0.7979, 0.0000, 0.5000)  2 Be 1.77
Nb (0.0000, 0.0000, 0.0000)  8 O 2.19
Be (0.7437, 0.5000, 0.5000)  5 O 1.62-1.77
O (0.2021, 0.0000, 0.5000)  2 Be 1.77
O (0.2021, 0.5000, 0.0000)  2 Be 1.77
Nb (0.5000, 0.0000, 0.0000)  12 O 2.46-2.63



(9)
# BeNbPO

An optimized crystal structure of BeNbPO (PBE, OQMD via LeMat-Bulk).

Distance to the lowest polymorph of the same formula = 115.6 meV/atom

Cell lengths 3.6324, 6.0427, 4.8991 Å; angles 90.00, 90.00, 90.00 degrees
Last column: nearest neighbours and their distance in Å.
Atoms (fractional coordinates):
O (0.0000, 0.6429, 0.8890)  2 Be 1.63-1.65
Nb (0.5000, 0.8341, 0.9029)  2 O 2.15
O (0.0000, 0.3571, 0.3890)  2 Be 1.63-1.65
P (0.5000, 0.7599, 0.4002)  2 Be 2.23, 2 Nb 2.45-2.48
Be (0.0000, 0.5906, 0.5618)  2 O 1.63-1.65
Nb (0.5000, 0.1659, 0.4029)  2 O 2.15
P (0.5000, 0.2401, 0.9002)  2 Be 2.23, 2 Nb 2.45-2.48
Be (0.0000, 0.4094, 0.0618)  2 O 1.63-1.65



(10)
# BeNbPO

An optimized crystal structure of BeNbPO (PBE, OQMD via LeMat-Bulk).

Distance to the lowest polymorph of the same formula = 348.6 meV/atom

Cell lengths 3.4172, 3.4172, 7.9389 Å; angles 90.00, 90.00, 90.00 degrees
Last column: nearest neighbours and their distance in Å.
Atoms (fractional coordinates):
P (0.0000, 0.5000, 0.6847)  4 Be 2.25
P (0.5000, 0.0000, 0.3153)  4 Be 2.25
Nb (0.0000, 0.5000, 0.1668)  4 O 2.16
O (0.0000, 0.0000, 0.0000)  4 Nb 2.16, 4 O 2.42
Nb (0.5000, 0.0000, 0.8332)  4 O 2.16
Be (0.5000, 0.5000, 0.5000)  4 P 2.25, 4 Be 2.42
Be (0.0000, 0.0000, 0.5000)  4 P 2.25, 4 Be 2.42
O (0.5000, 0.5000, 0.0000)  4 Nb 2.16, 4 O 2.42



(11)
# BeNbPO

An optimized crystal structure of BeNbPO (PBE, OQMD via LeMat-Bulk).

Distance to the lowest polymorph of the same formula = 472.8 meV/atom

Cell lengths 3.7130, 3.7130, 8.7193 Å; angles 90.00, 90.00, 90.00 degrees
Last column: nearest neighbours and their distance in Å.
Atoms (fractional coordinates):
Nb (0.0000, 0.0000, 0.5000)  4 P 2.51, 4 Nb 2.63
O (0.0000, 0.0000, 0.0000)  4 Be 1.86
Be (0.0000, 0.5000, 0.0119)  4 O 1.86
O (0.5000, 0.5000, 0.0000)  4 Be 1.86
Nb (0.5000, 0.5000, 0.5000)  4 P 2.51, 4 Nb 2.63
P (0.0000, 0.5000, 0.3060)  4 Nb 2.51, 1 Be 2.56
Be (0.5000, 0.0000, 0.9881)  4 O 1.86
P (0.5000, 0.0000, 0.6940)  4 Nb 2.51, 1 Be 2.56



(12)
# BeNbPO

An optimized crystal structure of BeNbPO (PBE, OQMD via LeMat-Bulk).

Distance to the lowest polymorph of the same formula = 0.0 meV/atom

Cell lengths 2.9308, 6.0919, 5.7563 Å; angles 90.00, 90.00, 90.00 degrees
Last column: nearest neighbours and their distance in Å.
Atoms (fractional coordinates):
O (0.5000, 0.2858, 0.8762)  2 Be 1.60
Be (0.0000, 0.6105, 0.3765)  2 O 1.60
Be (0.0000, 0.3895, 0.8765)  2 O 1.60
Nb (0.5000, 0.9996, 0.1259)  2 O 2.26
P (0.0000, 0.2567, 0.3754)  1 Be 2.16
O (0.5000, 0.7142, 0.3762)  2 Be 1.60
P (0.0000, 0.7433, 0.8754)  1 Be 2.16
Nb (0.5000, 0.0004, 0.6259)  2 O 2.26



(13)
# Be4NbOs

An optimized crystal structure of Be4NbOs (PBE, OQMD via LeMat-Bulk).

Cell lengths 4.4557, 4.4557, 4.4557 Å; angles 60.00, 60.00, 60.00 degrees
Last column: nearest neighbours and their distance in Å.
Atoms (fractional coordinates):
Be (0.8746, 0.8746, 0.8746)  6 Be 2.22-2.24
Be (0.8746, 0.8746, 0.3763)  6 Be 2.22-2.24
Be (0.3763, 0.8746, 0.8746)  6 Be 2.22-2.24
Os (0.2500, 0.2500, 0.2500)  12 Be 2.61, 4 Nb 2.73
Nb (0.5000, 0.5000, 0.5000)  12 Be 2.61, 4 Os 2.73
Be (0.8746, 0.3763, 0.8746)  6 Be 2.22-2.24



(14)
# BeNbOs2

An optimized crystal structure of BeNbOs2 (PBE, OQMD via LeMat-Bulk).

Cell lengths 4.3274, 4.3274, 4.3274 Å; angles 60.00, 60.00, 60.00 degrees
Last column: nearest neighbours and their distance in Å.
Atoms (fractional coordinates):
Nb (0.2500, 0.2500, 0.2500)  4 Os 2.65, 4 Be 2.65
Be (0.5000, 0.5000, 0.5000)  4 Os 2.65, 4 Nb 2.65
Os (0.7500, 0.7500, 0.7500)  4 Os 2.65, 4 Be 2.65
Os (0.0000, 0.0000, 0.0000)  4 Os 2.65, 4 Nb 2.65



(15)
# BeNb3Os

An optimized crystal structure of BeNb3Os (PBE, OQMD via LeMat-Bulk).

Cell lengths 4.3533, 4.3533, 4.3533 Å; angles 90.00, 90.00, 90.00 degrees
Last column: nearest neighbours and their distance in Å.
Atoms (fractional coordinates):
Nb (0.5000, 0.0000, 0.0000)  2 Be 2.18
Os (0.5000, 0.5000, 0.5000)  12 Nb 3.08
Be (0.0000, 0.0000, 0.0000)  6 Nb 2.18
Nb (0.0000, 0.0000, 0.5000)  2 Be 2.18
Nb (0.0000, 0.5000, 0.0000)  2 Be 2.18



(16)
# BeNbTlOs

An optimized crystal structure of BeNbTlOs (PBE, OQMD via LeMat-Bulk).

Distance to the lowest polymorph of the same formula = 74.7 meV/atom

Cell lengths 4.5096, 4.5096, 4.5096 Å; angles 60.00, 60.00, 60.00 degrees
Last column: nearest neighbours and their distance in Å.
Atoms (fractional coordinates):
Be (0.7500, 0.7500, 0.7500)  4 Os 2.76, 4 Tl 2.76
Nb (0.2500, 0.2500, 0.2500)  4 Tl 2.76, 4 Os 2.76
Os (0.0000, 0.0000, 0.0000)  4 Be 2.76, 4 Nb 2.76
Tl (0.5000, 0.5000, 0.5000)  4 Be 2.76, 4 Nb 2.76



(17)
# BeNbTlOs

An optimized crystal structure of BeNbTlOs (PBE, OQMD via LeMat-Bulk).

Distance to the lowest polymorph of the same formula = 249.2 meV/atom

Cell lengths 4.4816, 4.4816, 4.4816 Å; angles 60.00, 60.00, 60.00 degrees
Last column: nearest neighbours and their distance in Å.
Atoms (fractional coordinates):
Os (0.0000, 0.0000, 0.0000)  4 Be 2.74, 4 Tl 2.74
Be (0.7500, 0.7500, 0.7500)  4 Os 2.74, 4 Nb 2.74
Nb (0.5000, 0.5000, 0.5000)  4 Tl 2.74, 4 Be 2.74
Tl (0.2500, 0.2500, 0.2500)  4 Nb 2.74, 4 Os 2.74



(18)
# BeNbTlOs

An optimized crystal structure of BeNbTlOs (PBE, OQMD via LeMat-Bulk).

Distance to the lowest polymorph of the same formula = 0.0 meV/atom

Cell lengths 4.4989, 4.4989, 4.4989 Å; angles 60.00, 60.00, 60.00 degrees
Last column: nearest neighbours and their distance in Å.
Atoms (fractional coordinates):
Os (0.2500, 0.2500, 0.2500)  4 Tl 2.76, 4 Nb 2.76
Tl (0.5000, 0.5000, 0.5000)  4 Be 2.75-2.76, 4 Os 2.76
Nb (0.0000, 0.0000, 0.0000)  4 Be 2.76, 4 Os 2.76
Be (0.7500, 0.7500, 0.7500)  4 Tl 2.75-2.76, 4 Nb 2.76



(19)
# YBeNbOs

An optimized crystal structure of YBeNbOs (PBE, OQMD via LeMat-Bulk).

Distance to the lowest polymorph of the same formula = 0.0 meV/atom

Cell lengths 4.5390, 4.5390, 4.5390 Å; angles 60.00, 60.00, 60.00 degrees
Last column: nearest neighbours and their distance in Å.
Atoms (fractional coordinates):
Y (0.5000, 0.5000, 0.5000)  4 Nb 2.78, 4 Be 2.78
Be (0.7500, 0.7500, 0.7500)  4 Y 2.78, 4 Os 2.78
Os (0.0000, 0.0000, 0.0000)  4 Nb 2.78, 4 Be 2.78
Nb (0.2500, 0.2500, 0.2500)  4 Y 2.78, 4 Os 2.78



(20)
# YBeNbOs

An optimized crystal structure of YBeNbOs (PBE, OQMD via LeMat-Bulk).

Distance to the lowest polymorph of the same formula = 19.2 meV/atom

Cell lengths 4.6159, 4.6159, 4.6159 Å; angles 60.00, 60.00, 60.00 degrees
Last column: nearest neighbours and their distance in Å.
Atoms (fractional coordinates):
Be (0.7500, 0.7500, 0.7500)  4 Y 2.83, 4 Nb 2.83
Y (0.5000, 0.5000, 0.5000)  4 Be 2.83, 4 Os 2.83
Os (0.2500, 0.2500, 0.2500)  4 Nb 2.83, 4 Y 2.83
Nb (0.0000, 0.0000, 0.0000)  4 Os 2.83, 4 Be 2.83



| no. | raw total energy (eV per atom) |
| --- | --- |
| 1 | -5.320 |
| 2 | -5.536 |
| 3 | -5.794 |
| 4 | -6.380 |
| 5 | -5.562 |
| 6 | -5.630 |
| 7 | -7.274 |
| 8 | -7.557 |
| 9 | -7.178 |
| 10 | -6.945 |
| 11 | -6.821 |
| 12 | -7.294 |
| 13 | -6.466 |
| 14 | -8.842 |
| 15 | -8.369 |
| 16 | -6.362 |
| 17 | -6.187 |
| 18 | -6.437 |
| 19 | -7.822 |
| 20 | -7.802 |